No. 1
VASP calculation (PBE-GGA) on an optimized crystal structure of Os2Se.

As for the crystal system: cubic. The calculation puts the uncorrected energy at -5.426 eV/atom. For the density, the calculation gives 4626 kg/m3. The calculation puts the energy above the lowest structure with this stoichiometry at 1.829 eV per atom.

The structure belongs to space group Fd-3m (No. 227, origin choice 2); the cell edges are 10.9673, 10.9673 and 10.9673 Å and the angles 90.00°, 90.00° and 90.00°. The distinct sites, in fractional coordinates, are Os at (0.0000, 0.0000, 0.0000) and Se at (0.1250, 0.1250, 0.1250).

***

No. 2
VASP calculation (PBE-GGA) on an optimized crystal structure of OsSe2.

As for the crystal system: hexagonal. The calculation puts the uncorrected energy at -5.934 eV/atom. For the density, the calculation gives 8975 kg/m3.

The structure belongs to space group P6_3/mmc (No. 194); the cell edges are 3.4726, 3.4726 and 12.3362 Å and the angles 90.00°, 90.00° and 120.00°. The distinct sites, in fractional coordinates, are Os at (0.3333, 0.6667, 0.2500) and Se at (0.3333, 0.6667, 0.6274).

***

No. 3
VASP calculation (PBE-GGA) on an optimized crystal structure of Os9Se8.

As for the crystal system: cubic. The calculation puts the uncorrected energy at -7.053 eV/atom. For the density, the calculation gives 11885 kg/m3.

The structure belongs to space group Fm-3m (No. 225); the cell edges are 10.9414, 10.9414 and 10.9414 Å and the angles 90.00°, 90.00° and 90.00°. The distinct sites, in fractional coordinates, are Os at (0.0000, 0.0000, 0.0000), Os at (0.1211, 0.1211, 0.3789), Se at (0.0000, 0.0000, 0.2252) and Se at (0.2500, 0.2500, 0.2500).